{"formula": "Cs2AcMoO6", "functional": "PBE with a Hubbard U", "state": "relaxed", "lattice_angstrom": [[6.3514, 0.0000, 0.0000], [0.0000, 6.8777, 0.0000], [0.0000, -3.4388, 5.9562]], "species": ["Cs", "Cs", "Ac", "Mo", "O", "O", "O", "O", "O", "O"], "frac_coords": [[0.0919, 0.3333, 0.6667], [0.9081, 0.6667, 0.3333], [0.5000, 0.0000, 0.0000], [0.0000, 0.0000, 0.0000], [0.8096, 0.1292, 0.2584], [0.8096, 0.1292, 0.8708], [0.8096, 0.7416, 0.8708], [0.1904, 0.8708, 0.1292], [0.1904, 0.2584, 0.1292], [0.1904, 0.8708, 0.7416]], "total_energy_ev_per_atom": -6.14}